Record 1
# Nd2NpSi3Pt12 PBE optimized geometry
data_Nd2NpSi3Pt12
_cell_length_a 8.2319
_cell_length_b 8.2319
_cell_length_c 18.7843
_cell_angle_alpha 90.00
_cell_angle_beta 90.00
_cell_angle_gamma 120.00
_symmetry_space_group_name_H-M 'R -3 m'
_symmetry_Int_Tables_number 166
_symmetry_space_group_name_Hall '-R 3 2"'
loop_
_atom_site_label
_atom_site_type_symbol
_atom_site_fract_x
_atom_site_fract_y
_atom_site_fract_z
_atom_site_occupancy
Nd1 Nd 0.0000 0.0000 0.0995 1
Np1 Np 0.0000 0.0000 0.5000 1
Si1 Si 0.0000 0.5000 0.0000 1
Pt1 Pt 0.0247 0.5124 0.8729 1
Pt2 Pt 0.0339 0.5170 0.3669 1
# energy: -6.666 eV per atom
# calculated volume: 1102.4 Å³ per cell
# DOS at the Fermi energy: 42.69 states/eV per cell
# crystal system: trigonal

***

Record 2
# TlPb2I2O2 PBE optimized geometry
data_TlPb2I2O2
_cell_length_a 13.672
_cell_length_b 4.052
_cell_length_c 8.781
_cell_angle_alpha 90.00
_cell_angle_beta 122.07
_cell_angle_gamma 90.00
_symmetry_space_group_name_H-M 'C 1 2/m 1'
_symmetry_Int_Tables_number 12
_symmetry_space_group_name_Hall '-C 2y'
loop_
_atom_site_label
_atom_site_type_symbol
_atom_site_fract_x
_atom_site_fract_y
_atom_site_fract_z
_atom_site_occupancy
Tl1 Tl 0.000 0.000 0.000 1
Pb1 Pb 0.193 0.000 0.798 1
I1 I 0.066 0.500 0.326 1
O1 O 0.200 0.000 0.067 1
# energy: -4.028 eV per atom
# calculated volume: 412.2 Å³ per cell
# DOS at the Fermi energy: 5.02 states/eV per cell
# crystal system: monoclinic

***

Record 3
# Pm12InIr6 PBE optimized geometry
data_Pm12InIr6
_cell_length_a 10.220
_cell_length_b 10.220
_cell_length_c 10.220
_cell_angle_alpha 90.00
_cell_angle_beta 90.00
_cell_angle_gamma 90.00
_symmetry_space_group_name_H-M 'I m -3'
_symmetry_Int_Tables_number 204
_symmetry_space_group_name_Hall '-I 2 2 3'
loop_
_atom_site_label
_atom_site_type_symbol
_atom_site_fract_x
_atom_site_fract_y
_atom_site_fract_z
_atom_site_occupancy
Pm1 Pm 0.000 0.303 0.191 1
In1 In 0.000 0.000 0.000 1
Ir1 Ir 0.000 0.124 0.500 1
# energy: -6.450 eV per atom
# calculated volume: 1067.5 Å³ per cell
# DOS at the Fermi energy: 27.58 states/eV per cell
# E_form: -0.507 eV/atom
# crystal system: cubic

***

Question: Look up the calculated volume of the first one.
Answer: 1102.4 Å³ per cell